DFT (PBE) results for CaMnNiGe2 after structural relaxation.

a = 4.0885 Å, b = 4.0885 Å, c = 10.4439 Å
α = 90.00°, β = 90.00°, γ = 90.00°
Last column: nearest neighbours and their distance in Å.
Space group I-4m2 (No. 119)
Inequivalent atoms, fractional coordinates:
Ca (0.0000, 0.0000, 0.0000)  8 Ge 3.17, 4 Mn 3.32, 4 Ni 3.32
Mn (0.0000, 0.5000, 0.2500)  4 Ge 2.42
Ni (0.0000, 0.5000, 0.7500)  4 Ge 2.42
Ge (0.0000, 0.0000, 0.3746)  2 Mn 2.42, 2 Ni 2.42, 1 Ge 2.62


DFT (PBE) results for Ca2MnNi3Ge4 after structural relaxation.

a = 4.0722 Å, b = 4.0722 Å, c = 10.1862 Å
α = 90.00°, β = 90.00°, γ = 90.00°
Last column: nearest neighbours and their distance in Å.
Space group P-4m2 (No. 115)
Inequivalent atoms, fractional coordinates:
Ca (0.0000, 0.5000, 0.2459)  8 Ge 3.12-3.23, 6 Ni 3.12-3.29, 2 Mn 3.29
Mn (0.0000, 0.0000, 0.5000)  4 Ge 2.46
Ni (0.0000, 0.5000, 0.8732)  5 Ge 2.41-2.42
Ni (0.5000, 0.5000, 0.5000)  4 Ge 2.46
Ge (0.0000, 0.0000, 0.0000)  4 Ni 2.41
Ge (0.0000, 0.5000, 0.6355)  3 Ni 2.42-2.46, 2 Mn 2.46
Ge (0.5000, 0.5000, 0.0000)  4 Ni 2.41


The records above give, respectively, energy of formation values of -0.433 -0.470 eV/atom.